No. 1
Tb5Pm2YSc | PBE | optimized geometry

It has space group Cmc2_1 (No. 36), with a = 5.5657 Å, b = 20.1687 Å, c = 10.3657 Å, α = 90.00°, β = 90.00° and γ = 90.00°. Symmetry generates all atoms from Tb at (0.0000, 0.0153, 0.0000), Tb at (0.0000, 0.2741, 0.3054), Tb at (0.0000, 0.2979, 0.6887), Tb at (0.0000, 0.3738, 0.0050), Tb at (0.0000, 0.4832, 0.7273), Pm at (0.0000, 0.1131, 0.2972), Pm at (0.0000, 0.1153, 0.7203), Y at (0.0000, 0.4063, 0.4443) and Sc at (0.0000, 0.1955, 0.9996).

The density comes out at 6.96 g/cm³. The formation energy comes out at 0.16 eV per atom.

=====

No. 2
Ac2VN | PBE | optimized geometry

It has space group R-3m (No. 166, hexagonal axes), with a = 3.6981 Å, b = 3.6981 Å, c = 28.4170 Å, α = 90.00°, β = 90.00° and γ = 120.00°. Symmetry generates all atoms from Ac at (0.0000, 0.0000, 0.1121), V at (0.0000, 0.0000, 0.0000) and N at (0.0000, 0.0000, 0.5000).

The density comes out at 7.68 g/cm³. The uncorrected formation energy comes out at 215 meV/atom.